1.
Compound: Tm2HfNi9
Source: the Alexandria database
Functional: PBE
Structure: relaxed

Output
Symmetry: R-3m (166)
Formation enthalpy at 0 K (eV/f.u.): -4.990
DOS(E_F) (states/eV per atom): 1.312
M_tot (μB per formula unit): 0.00

Cell: 4.860 4.860 8.547 Å, 73.48 73.48 60.00°
Atoms (fractional coordinates):
Tm 0.862 0.862 0.413
Tm 0.138 0.138 0.587
Hf 0.000 0.000 0.000
Ni 0.667 0.667 0.000
Ni 0.333 0.333 0.000
Ni 0.500 0.500 0.500
Ni 0.418 0.418 0.245
Ni 0.920 0.418 0.245
Ni 0.418 0.920 0.245
Ni 0.582 0.582 0.755
Ni 0.582 0.080 0.755
Ni 0.080 0.582 0.755

***

2.
Compound: Tm2HfNi9
Source: the Alexandria database
Functional: PBE
Structure: relaxed

Output
Symmetry: P6_3/mmc (194)
Formation enthalpy at 0 K (eV/f.u.): -4.990
DOS(E_F) (states/eV per atom): 0.908
M_tot (μB per formula unit): 0.00

Cell: 4.861 4.861 16.136 Å, 90.00 90.00 120.00°
Atoms (fractional coordinates):
Tm 0.333 0.667 0.544
Tm 0.667 0.333 0.044
Tm 0.667 0.333 0.456
Tm 0.333 0.667 0.956
Hf 0.333 0.667 0.750
Hf 0.667 0.333 0.250
Ni 0.000 0.000 0.000
Ni 0.000 0.000 0.500
Ni 0.000 0.000 0.250
Ni 0.000 0.000 0.750
Ni 0.333 0.667 0.250
Ni 0.667 0.333 0.750
Ni 0.167 0.334 0.127
Ni 0.666 0.833 0.127
Ni 0.167 0.833 0.127
Ni 0.833 0.666 0.627
Ni 0.334 0.167 0.627
Ni 0.833 0.167 0.627
Ni 0.334 0.167 0.873
Ni 0.833 0.666 0.873
Ni 0.833 0.167 0.873
Ni 0.666 0.833 0.373
Ni 0.167 0.334 0.373
Ni 0.167 0.833 0.373

***

3.
Compound: Tm2HfNi
Source: the Alexandria database
Functional: PBE
Structure: relaxed

Output
Symmetry: R-3m (166)
ΔE to the lowest computed polymorph (eV per atom): 0.392
Formation enthalpy at 0 K (eV/f.u.): 1.006
DOS(E_F) (states/eV per atom): 0.876
M_tot (μB per formula unit): 0.00

Cell: 3.287 3.287 10.319 Å, 80.83 80.83 60.00°
Atoms (fractional coordinates):
Ni 0.500 0.500 0.500
Tm 0.104 0.104 0.687
Tm 0.896 0.896 0.313
Hf 0.000 0.000 0.000

***

4.
Compound: TmHf2Ni9
Source: the Alexandria database
Functional: PBE
Structure: relaxed

Output
Symmetry: R-3m (166)
Formation enthalpy at 0 K (eV/f.u.): -5.578
DOS(E_F) (states/eV per atom): 1.066
M_tot (μB per formula unit): 0.00

Cell: 4.862 4.862 8.394 Å, 73.17 73.17 60.00°
Atoms (fractional coordinates):
Tm 0.000 0.000 0.000
Hf 0.860 0.860 0.419
Hf 0.140 0.140 0.581
Ni 0.666 0.666 0.001
Ni 0.334 0.334 0.999
Ni 0.500 0.500 0.500
Ni 0.412 0.412 0.256
Ni 0.919 0.412 0.256
Ni 0.412 0.919 0.256
Ni 0.588 0.588 0.744
Ni 0.588 0.081 0.744
Ni 0.081 0.588 0.744